Here is crystalline HfGaSbP2 at its relaxed geometry from the Alexandria database. Energies are from PBE-GGA.

## Properties
* volume: 27.66 A^3/atom
* formation energy from raw total energies: 268 meV per atom

Cell and atoms, written as POSCAR:
```
HfGaSbP2
1.0
-1.9679 4.1781 -1.8352
-4.4876 -2.8706 -1.7232
-2.2268 0.8652 4.3577
P Hf Sb Ga
2 1 1 1
direct
0.0000 0.0000 0.5000
0.5000 0.0000 0.0000
0.0000 0.0000 0.0000
0.0000 0.5000 0.0000
0.5000 0.5000 0.5000
```



Here is crystalline HfGa2PSe at its relaxed geometry from the Alexandria database. Energies are from PBE-GGA.

## Properties
* volume: 28.42 A^3/atom
* formation energy from raw total energies: 493 meV per atom

Cell and atoms, written as POSCAR:
```
HfGa2PSe
1.0
-3.9056 -3.3874 1.6465
2.4025 -3.7111 -1.9361
2.6250 -0.7471 4.6895
Ga Hf P Se
2 1 1 1
direct
0.5000 0.0000 0.0000
0.0000 0.0000 0.5000
0.0000 0.0000 0.0000
0.0000 0.5000 0.0000
0.5000 0.5000 0.5000
```



Here is crystalline HfGa2SiP at its relaxed geometry from the Alexandria database. Energies are from PBE-GGA.

## Properties
* volume: 27.41 A^3/atom
* formation energy from raw total energies: 1071 meV per atom

Cell and atoms, written as POSCAR:
```
HfGa2SiP
1.0
-1.9238 -1.9322 4.4259
1.4680 -4.6500 -1.3920
4.5888 0.7532 2.3235
P Ga Hf Si
1 2 1 1
direct
0.5000 0.5000 0.5000
0.0000 0.0000 0.5000
0.5000 0.0000 0.0000
0.0000 0.0000 0.0000
0.0000 0.5000 0.0000
```



Here is crystalline HfGaTcP2 at its relaxed geometry from the Alexandria database. Energies are from PBE-GGA.

## Properties
* volume: 24.71 A^3/atom
* E_form: 1.01 eV/atom

Cell and atoms, written as POSCAR:
```
HfGaTcP2
1.0
4.9170 0.0000 0.0000
0.0000 5.1092 0.0000
0.0000 0.0000 4.9170
Tc Hf P Ga
1 1 2 1
direct
0.5000 0.5000 0.5000
0.0000 0.0000 0.0000
0.0000 0.0000 0.5000
0.5000 0.0000 0.0000
0.0000 0.5000 0.0000
```



Here is crystalline HfTi2GaP at its relaxed geometry from the Alexandria database. Energies are from PBE-GGA.

## Properties
* volume: 19.12 A^3/atom
* E_form: 0.01 eV/atom

Cell and atoms, written as POSCAR:
```
HfTi2GaP
1.0
-2.4346 2.7234 2.6880
-3.8062 -0.9410 -2.4939
-0.9173 -3.5084 2.7238
Ti Hf P Ga
2 1 1 1
direct
0.5000 0.0000 0.0000
0.0000 0.0000 0.5000
0.5000 0.5000 0.5000
0.0000 0.0000 0.0000
0.0000 0.5000 0.0000
```



Here is crystalline HfPaGa4 at its relaxed geometry from the Alexandria database. Energies are from PBE-GGA.

## Properties
* volume: 18.73 A^3/atom
* E_form: -0.23 eV/atom

Cell and atoms, written as POSCAR:
```
HfPaGa4
1.0
5.4163 0.0000 0.0000
2.7082 4.6907 0.0000
2.7082 1.5636 4.4224
Ga Pa Hf
4 1 1
direct
0.1237 0.6254 0.6254
0.6254 0.6254 0.6254
0.6254 0.6254 0.1237
0.6254 0.1237 0.6254
0.2500 0.2500 0.2500
0.0000 0.0000 0.0000
```



Number 1: total moment 0.000 μB/f.u.. Number 2: total moment 0.000 μB/f.u.. Number 3: total moment 0.000 μB/f.u.. Number 4: total moment 3.874 μB/f.u.. Number 5: total moment 0.000 μB/f.u.. Number 6: total moment 0.544 μB/f.u..